Entry 1:
Computed, not measured: crystalline BaNiN2 at its relaxed geometry at the PBE level of DFT.

Mass density   6.3 g/cm3
Raw total energy   -0.431 Ry per atom
M_tot   0.9 μB/f.u.

Unit cell a=3.865 b=3.865 c=7.913 alpha=90.00 beta=90.00 gamma=90.00
Element x y z (fractional)
Ba (0.250, 0.250, 0.186)
Ba (0.750, 0.750, 0.814)
Ni (0.250, 0.250, 0.583)
Ni (0.750, 0.750, 0.417)
N (0.250, 0.250, 0.818)
N (0.250, 0.750, 0.500)
N (0.750, 0.250, 0.500)
N (0.750, 0.750, 0.182)



Entry 2:
Computed, not measured: crystalline Li4ZnAg2As at its relaxed geometry at the PBE level of DFT.

Mass density   5.2 g/cm3
Raw total energy   -0.202 Ry per atom

Unit cell a=4.355 b=4.355 c=6.477 alpha=90.00 beta=90.00 gamma=90.00
Element x y z (fractional)
Li (0.000, 0.000, 0.000)
Li (0.000, 0.500, 0.249)
Li (0.500, 0.000, 0.751)
Li (0.500, 0.500, 0.500)
Zn (0.000, 0.000, 0.500)
Ag (0.000, 0.500, 0.741)
Ag (0.500, 0.000, 0.259)
As (0.500, 0.500, 0.000)



Entry 3:
Computed, not measured: crystalline ScCuS2 at its relaxed geometry at the PBE level of DFT.

Mass density   3.4 g/cm3
Raw total energy   -0.421 Ry per atom
M_tot   0.0 μB/f.u.

Unit cell a=6.804 b=6.804 c=6.804 alpha=132.51 beta=132.51 gamma=69.42
Element x y z (fractional)
Sc (0.000, 0.000, 0.000)
Sc (0.750, 0.250, 0.500)
Cu (0.250, 0.750, 0.500)
Cu (0.500, 0.500, 0.000)
S (0.144, 0.125, 0.519)
S (0.375, 0.856, 0.981)
S (0.606, 0.625, 0.481)
S (0.875, 0.394, 0.019)



Entry 4:
Computed, not measured: crystalline CoBiOs at its relaxed geometry at the PBE level of DFT.

Mass density   13.0 g/cm3
Raw total energy   -0.491 Ry per atom
M_tot   1.9 μB/f.u.

Unit cell a=4.363 b=4.363 c=4.363 alpha=60.00 beta=60.00 gamma=60.00
Element x y z (fractional)
Co (0.000, 0.000, 0.000)
Bi (0.500, 0.500, 0.500)
Os (0.750, 0.750, 0.750)



Entry 5:
Computed, not measured: crystalline Y2Bi3Mo4N3 at its relaxed geometry at the PBE level of DFT.

Mass density   9.2 g/cm3
Raw total energy   -0.593 Ry per atom
M_tot   0.0 μB/f.u.

Unit cell a=5.855 b=5.855 c=14.741 alpha=92.42 beta=92.42 gamma=61.28
Element x y z (fractional)
Y (0.006, 0.836, 0.596)
Y (0.164, 0.994, 0.904)
Y (0.836, 0.006, 0.096)
Y (0.994, 0.164, 0.404)
Bi (0.048, 0.305, 0.720)
Bi (0.305, 0.048, 0.220)
Bi (0.430, 0.570, 0.750)
Bi (0.570, 0.430, 0.250)
Bi (0.695, 0.952, 0.780)
Bi (0.952, 0.695, 0.280)
Mo (0.191, 0.347, 0.052)
Mo (0.343, 0.501, 0.434)
Mo (0.347, 0.191, 0.552)
Mo (0.499, 0.657, 0.066)
Mo (0.501, 0.343, 0.934)
Mo (0.653, 0.809, 0.448)
Mo (0.657, 0.499, 0.566)
Mo (0.809, 0.653, 0.948)
N (0.000, 0.500, 0.500)
N (0.168, 0.672, 0.995)
N (0.328, 0.832, 0.505)
N (0.500, 0.000, 0.000)
N (0.672, 0.168, 0.495)
N (0.832, 0.328, 0.005)



Entry 6:
Computed, not measured: crystalline Ba8In4Cu3N5 at its relaxed geometry at the PBE level of DFT.

Mass density   5.9 g/cm3
Raw total energy   -0.320 Ry per atom

Unit cell a=12.148 b=12.148 c=12.148 alpha=161.23 beta=116.45 gamma=66.91
Element x y z (fractional)
Ba (0.063, 0.208, 0.855)
Ba (0.247, 0.403, 0.845)
Ba (0.353, 0.208, 0.145)
Ba (0.442, 0.597, 0.845)
Ba (0.558, 0.403, 0.155)
Ba (0.647, 0.792, 0.855)
Ba (0.753, 0.597, 0.155)
Ba (0.937, 0.792, 0.145)
In (0.081, 0.581, 0.500)
In (0.140, 0.000, 0.140)
In (0.860, 0.000, 0.860)
In (0.919, 0.419, 0.500)
Cu (0.307, 0.807, 0.500)
Cu (0.500, 0.000, 0.500)
Cu (0.693, 0.193, 0.500)
N (0.158, 0.805, 0.353)
N (0.452, 0.805, 0.647)
N (0.500, 0.500, 0.000)
N (0.548, 0.195, 0.353)
N (0.842, 0.195, 0.647)